# MgZr2Ta PBE optimized geometry
data_MgZr2Ta
_chemical_formula_sum 'Mg2 Zr4 Ta2'
_cell_length_a 3.671
_cell_length_b 4.741
_cell_length_c 9.932
_cell_angle_alpha 90.00
_cell_angle_beta 90.00
_cell_angle_gamma 90.00
_space_group_name_H-M_alt 'C m m m'
_space_group_IT_number 65
_space_group_name_Hall '-C 2 2'
loop_
_atom_site_label
_atom_site_fract_x
_atom_site_fract_y
_atom_site_fract_z
Mg1 0.000 0.000 0.000
Zr1 0.000 0.500 0.270
Ta1 0.000 0.000 0.500
# Energy ... -7.58 eV per atom
# Formation enthalpy at 0 K ... 0.06 eV per atom

***

# OsPdAu2 PBE optimized geometry
data_OsPdAu2
_chemical_formula_sum 'Os4 Pd4 Au8'
_cell_length_a 3.856
_cell_length_b 3.856
_cell_length_c 19.375
_cell_angle_alpha 90.00
_cell_angle_beta 90.00
_cell_angle_gamma 90.00
_space_group_name_H-M_alt 'I -4 2 d'
_space_group_IT_number 122
_space_group_name_Hall 'I -4 2bw'
loop_
_atom_site_label
_atom_site_fract_x
_atom_site_fract_y
_atom_site_fract_z
Os1 0.000 0.000 0.000
Pd1 0.000 0.000 0.500
Au1 0.248 0.250 0.125
# Energy ... -4.93 eV per atom
# Excess energy over the best structure of this formula in the dataset ... 0.2517 eV per atom
# Formation enthalpy at 0 K ... 0.82 eV per atom

***

# VReS2N PBE optimized geometry
data_VReS2N
_chemical_formula_sum 'V1 Re1 S2 N1'
_cell_length_a 4.773
_cell_length_b 4.773
_cell_length_c 3.704
_cell_angle_alpha 90.00
_cell_angle_beta 90.00
_cell_angle_gamma 90.00
_space_group_name_H-M_alt 'P 4/m m m'
_space_group_IT_number 123
_space_group_name_Hall '-P 4 2'
loop_
_atom_site_label
_atom_site_fract_x
_atom_site_fract_y
_atom_site_fract_z
V1 0.000 0.000 0.000
Re1 0.500 0.500 0.500
S1 0.000 0.500 0.500
N1 0.500 0.500 0.000
# Energy ... -7.04 eV per atom
# Excess energy over the best structure of this formula in the dataset ... 0.0000 eV per atom
# Formation energy from raw total energies ... 0.590 eV per atom

***

# Ba2CuMo PBE optimized geometry
data_Ba2CuMo
_chemical_formula_sum 'Ba4 Cu2 Mo2'
_cell_length_a 8.536
_cell_length_b 3.795
_cell_length_c 8.642
_cell_angle_alpha 90.00
_cell_angle_beta 100.36
_cell_angle_gamma 90.00
_space_group_name_H-M_alt 'C 1 2/m 1'
_space_group_IT_number 12
_space_group_name_Hall '-C 2y'
loop_
_atom_site_label
_atom_site_fract_x
_atom_site_fract_y
_atom_site_fract_z
Ba1 0.248 0.000 0.247
Cu1 0.000 0.500 0.000
Mo1 0.000 0.000 0.500
# Energy ... -3.68 eV per atom
# Excess energy over the best structure of this formula in the dataset ... 0.3493 eV per atom
# Formation enthalpy at 0 K ... 1.01 eV per atom